Record 1
Entry from the Alexandria database: a geometry-optimized Pr4SbAsSe2 structure (PBE-GGA).

Lattice parameters (Å, degrees): 7.5138 4.3608 7.5869 90.00 109.57 90.00
Last column: nearest neighbours and their distance in Å.
Fractional coordinates of all 8 atoms:
Pr 0.2456 0.0000 0.2386  2 As 3.03, 3 Se 3.04-3.13, 1 Sb 3.13
Pr 0.2534 0.5000 0.7620  1 As 3.03, 3 Se 3.03-3.14, 2 Sb 3.13
Pr 0.7466 0.5000 0.2380  1 As 3.03, 3 Se 3.03-3.14, 2 Sb 3.13
Pr 0.7544 0.0000 0.7614  2 As 3.03, 3 Se 3.04-3.13, 1 Sb 3.13
Sb 0.0000 0.0000 0.5000  6 Pr 3.13
As 0.0000 0.5000 0.0000  6 Pr 3.03
Se 0.5000 0.0000 0.0000  6 Pr 3.03-3.04
Se 0.5000 0.5000 0.5000  6 Pr 3.13-3.14

For the density of states at the Fermi level, the calculation gives 0.472 states/eV per atom. The total energy is -47.78 eV per cell. As for the space group: P2/m (10).

Record 2
Entry from the Alexandria database: a geometry-optimized Pr8SbAs3Se4 structure (PBE-GGA).

Lattice parameters (Å, degrees): 8.6497 8.6497 8.6497 60.07 60.07 60.07
Last column: nearest neighbours and their distance in Å.
Fractional coordinates of all 16 atoms:
Pr 0.2389 0.7536 0.7536  2 As 3.01, 3 Se 3.02-3.11, 1 Sb 3.10
Pr 0.2464 0.2464 0.2464  3 As 3.02, 3 Se 3.10
Pr 0.2464 0.2464 0.7611  2 As 3.01, 3 Se 3.02-3.11, 1 Sb 3.10
Pr 0.2464 0.7611 0.2464  2 As 3.01, 3 Se 3.02-3.11, 1 Sb 3.10
Pr 0.7536 0.2389 0.7536  2 As 3.01, 3 Se 3.02-3.11, 1 Sb 3.10
Pr 0.7536 0.7536 0.2389  2 As 3.01, 3 Se 3.02-3.11, 1 Sb 3.10
Pr 0.7536 0.7536 0.7536  3 As 3.02, 3 Se 3.10
Pr 0.7611 0.2464 0.2464  2 As 3.01, 3 Se 3.02-3.11, 1 Sb 3.10
Sb 0.5000 0.5000 0.5000  6 Pr 3.10
As 0.0000 0.0000 0.5000  6 Pr 3.01-3.02
As 0.0000 0.5000 0.0000  6 Pr 3.01-3.02
As 0.5000 0.0000 0.0000  6 Pr 3.01-3.02
Se 0.0000 0.0000 0.0000  6 Pr 3.02
Se 0.0000 0.5000 0.5000  6 Pr 3.10-3.11
Se 0.5000 0.0000 0.5000  6 Pr 3.10-3.11
Se 0.5000 0.5000 0.0000  6 Pr 3.10-3.11

For the density of states at the Fermi level, the calculation gives 0.419 states/eV per atom. The total energy is -96.97 eV per cell. As for the space group: R-3m (166).

Copy entry 2 word for word.
Entry from the Alexandria database: a geometry-optimized Pr8SbAs3Se4 structure (PBE-GGA).

Lattice parameters (Å, degrees): 8.6497 8.6497 8.6497 60.07 60.07 60.07
Last column: nearest neighbours and their distance in Å.
Fractional coordinates of all 16 atoms:
Pr 0.2389 0.7536 0.7536  2 As 3.01, 3 Se 3.02-3.11, 1 Sb 3.10
Pr 0.2464 0.2464 0.2464  3 As 3.02, 3 Se 3.10
Pr 0.2464 0.2464 0.7611  2 As 3.01, 3 Se 3.02-3.11, 1 Sb 3.10
Pr 0.2464 0.7611 0.2464  2 As 3.01, 3 Se 3.02-3.11, 1 Sb 3.10
Pr 0.7536 0.2389 0.7536  2 As 3.01, 3 Se 3.02-3.11, 1 Sb 3.10
Pr 0.7536 0.7536 0.2389  2 As 3.01, 3 Se 3.02-3.11, 1 Sb 3.10
Pr 0.7536 0.7536 0.7536  3 As 3.02, 3 Se 3.10
Pr 0.7611 0.2464 0.2464  2 As 3.01, 3 Se 3.02-3.11, 1 Sb 3.10
Sb 0.5000 0.5000 0.5000  6 Pr 3.10
As 0.0000 0.0000 0.5000  6 Pr 3.01-3.02
As 0.0000 0.5000 0.0000  6 Pr 3.01-3.02
As 0.5000 0.0000 0.0000  6 Pr 3.01-3.02
Se 0.0000 0.0000 0.0000  6 Pr 3.02
Se 0.0000 0.5000 0.5000  6 Pr 3.10-3.11
Se 0.5000 0.0000 0.5000  6 Pr 3.10-3.11
Se 0.5000 0.5000 0.0000  6 Pr 3.10-3.11

For the density of states at the Fermi level, the calculation gives 0.419 states/eV per atom. The total energy is -96.97 eV per cell. As for the space group: R-3m (166).